A.
Below is an optimized crystal structure of TbPd3Pt, with properties calculated at the PBE level.

magnetization = 0.000 μB per atom

Lattice parameters (Å, degrees): 9.7748 9.7748 9.7748 150.14 150.14 42.74
Atoms (fractional coordinates):
1 Tb 0.1642 0.1642 0.0000
2 Tb 0.8358 0.8358 0.0000
3 Pd 0.3750 0.6236 0.7514
4 Pd 0.3764 0.1278 0.7514
5 Pd 0.3764 0.6250 0.2486
6 Pd 0.5708 0.0708 0.5000
7 Pd 0.8722 0.6236 0.2486
8 Pd 0.9292 0.4292 0.5000
9 Pt 0.2500 0.7500 0.5000
10 Pt 0.5000 0.5000 0.0000

***

B.
Below is an optimized crystal structure of TbPd3Pt, with properties calculated at the PBE level.

magnetization = 0.000 μB per atom

Lattice parameters (Å, degrees): 5.1671 7.8687 5.0078 90.00 116.37 90.00
Atoms (fractional coordinates):
1 Tb 0.0000 0.2033 0.2500
2 Tb 0.0000 0.7967 0.7500
3 Pd 0.3243 0.1312 0.9041
4 Pd 0.3243 0.8688 0.4041
5 Pd 0.5000 0.4335 0.2500
6 Pd 0.5000 0.5665 0.7500
7 Pd 0.6757 0.1312 0.5959
8 Pd 0.6757 0.8688 0.0959
9 Pt 0.0000 0.4213 0.7500
10 Pt 0.0000 0.5787 0.2500

***

Result of the stability comparison: A is the least stable of them.

***

A.
Below is an optimized crystal structure of TbPd4Pt, with properties calculated at the PBE level.

magnetization = 0.000 μB per atom

Lattice parameters (Å, degrees): 10.4134 10.4134 4.7103 90.00 90.00 153.74
Atoms (fractional coordinates):
1 Tb 0.1683 0.8317 0.5000
2 Tb 0.8317 0.1683 0.0000
3 Pd 0.0943 0.9057 0.9955
4 Pd 0.2513 0.7487 0.0142
5 Pd 0.3294 0.6706 0.5229
6 Pd 0.4675 0.5325 0.5413
7 Pd 0.5325 0.4675 0.0413
8 Pd 0.6706 0.3294 0.0229
9 Pd 0.7487 0.2513 0.5142
10 Pd 0.9057 0.0943 0.4955
11 Pt 0.4022 0.5978 0.0359
12 Pt 0.5978 0.4022 0.5359

***

B.
Below is an optimized crystal structure of TbPd4Pt, with properties calculated at the PBE level.

magnetization = 0.000 μB per atom

Lattice parameters (Å, degrees): 4.9736 8.7602 4.9191 90.00 108.28 90.00
Atoms (fractional coordinates):
1 Tb 0.0000 0.0000 0.0000
2 Tb 0.5000 0.5000 0.0000
3 Pd 0.0000 0.1755 0.5000
4 Pd 0.0000 0.3363 0.0000
5 Pd 0.0000 0.6637 0.0000
6 Pd 0.0000 0.8245 0.5000
7 Pd 0.5000 0.1637 0.0000
8 Pd 0.5000 0.3245 0.5000
9 Pd 0.5000 0.6755 0.5000
10 Pd 0.5000 0.8363 0.0000
11 Pt 0.0000 0.5000 0.5000
12 Pt 0.5000 0.0000 0.5000

***

Result of the stability comparison: A is the least stable of them.

***

A.
Below is an optimized crystal structure of TbPd5Pt2, with properties calculated at the PBE level.

magnetization = 0.000 μB per atom

Lattice parameters (Å, degrees): 3.7291 8.0276 9.6706 90.00 90.00 90.00
Atoms (fractional coordinates):
1 Tb 0.0000 0.0000 0.0000
2 Tb 0.5000 0.5000 0.5000
3 Pd 0.0000 0.1871 0.3554
4 Pd 0.0000 0.1871 0.6446
5 Pd 0.0000 0.5000 0.0000
6 Pd 0.0000 0.8129 0.3554
7 Pd 0.0000 0.8129 0.6446
8 Pd 0.5000 0.0000 0.5000
9 Pd 0.5000 0.3129 0.1446
10 Pd 0.5000 0.3129 0.8554
11 Pd 0.5000 0.6871 0.1446
12 Pd 0.5000 0.6871 0.8554
13 Pt 0.0000 0.5000 0.2800
14 Pt 0.0000 0.5000 0.7200
15 Pt 0.5000 0.0000 0.2200
16 Pt 0.5000 0.0000 0.7800

***

B.
Below is an optimized crystal structure of TbPd5Pt2, with properties calculated at the PBE level.

magnetization = 0.000 μB per atom

Lattice parameters (Å, degrees): 5.7000 11.4217 4.0699 90.00 90.00 90.00
Atoms (fractional coordinates):
1 Tb 0.0000 0.0000 0.0000
2 Tb 0.5000 0.5000 0.0000
3 Pd 0.0000 0.5000 0.0000
4 Pd 0.0138 0.2511 0.0000
5 Pd 0.2479 0.8728 0.5000
6 Pd 0.2521 0.3728 0.5000
7 Pd 0.4862 0.7511 0.0000
8 Pd 0.5000 0.0000 0.0000
9 Pd 0.5138 0.2489 0.0000
10 Pd 0.7479 0.6272 0.5000
11 Pd 0.7521 0.1272 0.5000
12 Pd 0.9862 0.7489 0.0000
13 Pt 0.2365 0.6288 0.5000
14 Pt 0.2635 0.1288 0.5000
15 Pt 0.7365 0.8712 0.5000
16 Pt 0.7635 0.3712 0.5000

***

Result of the stability comparison: A is the least stable of them.

***

A.
Below is an optimized crystal structure of TbPdPt, with properties calculated at the PBE level.

magnetization = 0.000 μB per atom

Lattice parameters (Å, degrees): 3.8324 4.0133 4.2644 90.00 90.00 90.00
Atoms (fractional coordinates):
1 Tb 0.0000 0.0000 0.0000
2 Pd 0.0000 0.5000 0.5000
3 Pt 0.5000 0.0000 0.5000

***

B.
Below is an optimized crystal structure of TbPdPt, with properties calculated at the PBE level.

magnetization = 0.000 μB per atom

Lattice parameters (Å, degrees): 4.4272 9.2400 5.6890 90.00 90.00 90.00
Atoms (fractional coordinates):
1 Tb 0.0000 0.1904 0.2500
2 Tb 0.0000 0.8096 0.7500
3 Tb 0.5000 0.3096 0.7500
4 Tb 0.5000 0.6904 0.2500
5 Pd 0.0000 0.1094 0.7500
6 Pd 0.0000 0.8906 0.2500
7 Pd 0.5000 0.3906 0.2500
8 Pd 0.5000 0.6094 0.7500
9 Pt 0.0000 0.5000 0.0000
10 Pt 0.0000 0.5000 0.5000
11 Pt 0.5000 0.0000 0.0000
12 Pt 0.5000 0.0000 0.5000

***

C.
Below is an optimized crystal structure of TbPdPt, with properties calculated at the PBE level.

magnetization = 0.000 μB per atom

Lattice parameters (Å, degrees): 5.4746 4.4159 5.5246 90.00 106.55 90.00
Atoms (fractional coordinates):
1 Tb 0.2199 0.2500 0.3919
2 Tb 0.7801 0.7500 0.6081
3 Pd 0.3993 0.7500 0.1089
4 Pd 0.6007 0.2500 0.8911
5 Pt 0.0887 0.2500 0.8477
6 Pt 0.9113 0.7500 0.1523

***

D.
Below is an optimized crystal structure of TbPdPt, with properties calculated at the PBE level.

magnetization = 0.000 μB per atom

Lattice parameters (Å, degrees): 4.4723 4.4723 3.6081 90.00 90.00 120.00
Atoms (fractional coordinates):
1 Tb 0.0000 0.0000 0.0000
2 Pd 0.3333 0.6667 0.5000
3 Pt 0.6667 0.3333 0.5000

***

Result of the stability comparison: A is the least stable of them.

***

A.
Below is an optimized crystal structure of TbPd3Pt2, with properties calculated at the PBE level.

magnetization = 0.000 μB per atom

Lattice parameters (Å, degrees): 7.6185 7.6185 5.2883 90.00 90.00 136.23
Atoms (fractional coordinates):
1 Tb 0.1567 0.8433 0.7500
2 Tb 0.8433 0.1567 0.2500
3 Pd 0.0784 0.4176 0.7500
4 Pd 0.3409 0.6591 0.2500
5 Pd 0.4176 0.0784 0.2500
6 Pd 0.5824 0.9216 0.7500
7 Pd 0.6591 0.3409 0.7500
8 Pd 0.9216 0.5824 0.2500
9 Pt 0.2599 0.2599 0.0000
10 Pt 0.2599 0.2599 0.5000
11 Pt 0.7401 0.7401 0.0000
12 Pt 0.7401 0.7401 0.5000

***

B.
Below is an optimized crystal structure of TbPd3Pt2, with properties calculated at the PBE level.

magnetization = 0.000 μB per atom

Lattice parameters (Å, degrees): 7.8693 7.8693 7.8693 42.66 42.66 42.66
Atoms (fractional coordinates):
1 Tb 0.2194 0.2194 0.2194
2 Tb 0.7806 0.7806 0.7806
3 Pd 0.2301 0.7211 0.7211
4 Pd 0.2789 0.2789 0.7699
5 Pd 0.2789 0.7699 0.2789
6 Pd 0.7211 0.2301 0.7211
7 Pd 0.7211 0.7211 0.2301
8 Pd 0.7699 0.2789 0.2789
9 Pt 0.0000 0.0000 0.0000
10 Pt 0.0000 0.5000 0.5000
11 Pt 0.5000 0.0000 0.5000
12 Pt 0.5000 0.5000 0.0000

***

Result of the stability comparison: A is the least stable of them.

***

A.
Below is an optimized crystal structure of Tb2PdPt4, with properties calculated at the PBE level.

magnetization = 0.000 μB per atom

Lattice parameters (Å, degrees): 3.9192 3.9192 18.3871 90.00 90.00 90.00
Atoms (fractional coordinates):
1 Tb 0.0000 0.0000 0.1044
2 Tb 0.0000 0.0000 0.8956
3 Tb 0.5000 0.5000 0.3956
4 Tb 0.5000 0.5000 0.6044
5 Pd 0.0000 0.0000 0.5000
6 Pd 0.5000 0.5000 0.0000
7 Pt 0.0000 0.0000 0.3566
8 Pt 0.0000 0.0000 0.6434
9 Pt 0.0000 0.5000 0.2500
10 Pt 0.0000 0.5000 0.7500
11 Pt 0.5000 0.0000 0.2500
12 Pt 0.5000 0.0000 0.7500
13 Pt 0.5000 0.5000 0.1434
14 Pt 0.5000 0.5000 0.8566

***

B.
Below is an optimized crystal structure of Tb2PdPt4, with properties calculated at the PBE level.

magnetization = 0.000 μB per atom

Lattice parameters (Å, degrees): 7.1893 6.2200 5.3001 76.77 57.37 45.86
Atoms (fractional coordinates):
1 Tb 0.1442 0.1442 0.8558
2 Tb 0.8558 0.8558 0.1442
3 Pd 0.5000 0.5000 0.5000
4 Pt 0.0000 0.0000 0.5000
5 Pt 0.2500 0.2500 0.2500
6 Pt 0.5000 0.5000 0.0000
7 Pt 0.7500 0.7500 0.7500

***

Result of the stability comparison: B is the least stable of them.

***

A.
Below is an optimized crystal structure of Tb2PdPt9, with properties calculated at the PBE level.

magnetization = 0.000 μB per atom

Lattice parameters (Å, degrees): 9.3255 9.3255 9.3255 33.50 33.50 33.50
Atoms (fractional coordinates):
1 Tb 0.1338 0.1338 0.1338
2 Tb 0.8662 0.8662 0.8662
3 Pd 0.0000 0.0000 0.0000
4 Pt 0.0808 0.5872 0.5872
5 Pt 0.3326 0.3326 0.3326
6 Pt 0.4128 0.4128 0.9192
7 Pt 0.4128 0.9192 0.4128
8 Pt 0.5000 0.5000 0.5000
9 Pt 0.5872 0.0808 0.5872
10 Pt 0.5872 0.5872 0.0808
11 Pt 0.6674 0.6674 0.6674
12 Pt 0.9192 0.4128 0.4128

***

B.
Below is an optimized crystal structure of Tb2PdPt9, with properties calculated at the PBE level.

magnetization = 0.000 μB per atom

Lattice parameters (Å, degrees): 4.0709 4.0709 12.2762 90.00 90.00 90.00
Atoms (fractional coordinates):
1 Tb 0.0000 0.0000 0.1704
2 Tb 0.0000 0.0000 0.8296
3 Pd 0.0000 0.0000 0.5000
4 Pt 0.0000 0.5000 0.0000
5 Pt 0.0000 0.5000 0.3411
6 Pt 0.0000 0.5000 0.6589
7 Pt 0.5000 0.0000 0.0000
8 Pt 0.5000 0.0000 0.3411
9 Pt 0.5000 0.0000 0.6589
10 Pt 0.5000 0.5000 0.1705
11 Pt 0.5000 0.5000 0.5000
12 Pt 0.5000 0.5000 0.8295

***

Result of the stability comparison: A is the least stable of them.

***

A.
Below is an optimized crystal structure of Tb2Pd2Pt, with properties calculated at the PBE level.

magnetization = 0.000 μB per atom

Lattice parameters (Å, degrees): 7.6270 4.4190 7.0564 90.00 111.17 90.00
Atoms (fractional coordinates):
1 Tb 0.0921 0.0000 0.2774
2 Tb 0.4079 0.5000 0.7226
3 Tb 0.5921 0.5000 0.2774
4 Tb 0.9079 0.0000 0.7226
5 Pd 0.1448 0.5000 0.9339
6 Pd 0.3552 0.0000 0.0661
7 Pd 0.6448 0.0000 0.9339
8 Pd 0.8552 0.5000 0.0661
9 Pt 0.0000 0.5000 0.5000
10 Pt 0.5000 0.0000 0.5000

***

B.
Below is an optimized crystal structure of Tb2Pd2Pt, with properties calculated at the PBE level.

magnetization = 0.000 μB per atom

Lattice parameters (Å, degrees): 7.7363 7.7363 7.7363 133.87 65.54 136.14
Atoms (fractional coordinates):
1 Tb 0.1566 0.2445 0.4011
2 Tb 0.3434 0.7445 0.0879
3 Tb 0.6566 0.2555 0.9121
4 Tb 0.8434 0.7555 0.5989
5 Pd 0.1218 0.7076 0.8294
6 Pd 0.3782 0.2076 0.5858
7 Pd 0.6218 0.7924 0.4142
8 Pd 0.8782 0.2924 0.1706
9 Pt 0.2500 0.2500 0.0000
10 Pt 0.7500 0.7500 0.0000

***

Result of the stability comparison: B is the least stable of them.

***

A.
Below is an optimized crystal structure of Tb8PdPt2, with properties calculated at the PBE level.

magnetization = 0.000 μB per atom

Lattice parameters (Å, degrees): 9.0870 9.0870 6.8576 101.12 101.12 31.83
Atoms (fractional coordinates):
1 Tb 0.0334 0.0334 0.2758
2 Tb 0.2060 0.2060 0.8312
3 Tb 0.3343 0.3343 0.5272
4 Tb 0.4103 0.4103 0.0463
5 Tb 0.5897 0.5897 0.9537
6 Tb 0.6657 0.6657 0.4728
7 Tb 0.7940 0.7940 0.1688
8 Tb 0.9666 0.9666 0.7242
9 Pd 0.5000 0.5000 0.5000
10 Pt 0.1953 0.1953 0.2375
11 Pt 0.8047 0.8047 0.7625

***

B.
Below is an optimized crystal structure of Tb8PdPt2, with properties calculated at the PBE level.

magnetization = 0.000 μB per atom

Lattice parameters (Å, degrees): 7.6741 7.6741 5.9495 99.92 99.92 112.96
Atoms (fractional coordinates):
1 Tb 0.0000 0.0000 0.0000
2 Tb 0.0270 0.2839 0.5727
3 Tb 0.1428 0.5837 0.1815
4 Tb 0.2839 0.0270 0.5727
5 Tb 0.4441 0.7011 0.7770
6 Tb 0.5837 0.1428 0.1815
7 Tb 0.7011 0.4441 0.7770
8 Tb 0.7307 0.7307 0.3629
9 Pd 0.3693 0.3693 0.3293
10 Pt 0.0555 0.6744 0.6819
11 Pt 0.6744 0.0555 0.6819

***

Result of the stability comparison: B is the least stable of them.

***

A.
Below is an optimized crystal structure of Tb2Pd8Pt, with properties calculated at the PBE level.

magnetization = 0.000 μB per atom

Lattice parameters (Å, degrees): 5.8205 5.8205 7.1332 95.74 95.74 55.66
Atoms (fractional coordinates):
1 Tb 0.1884 0.1884 0.2354
2 Tb 0.8116 0.8116 0.7646
3 Pd 0.1959 0.6888 0.1746
4 Pd 0.2987 0.2987 0.8811
5 Pd 0.3112 0.8041 0.8254
6 Pd 0.3781 0.3781 0.5353
7 Pd 0.6219 0.6219 0.4647
8 Pd 0.6888 0.1959 0.1746
9 Pd 0.7013 0.7013 0.1189
10 Pd 0.8041 0.3112 0.8254
11 Pt 0.0000 0.0000 0.5000

***

B.
Below is an optimized crystal structure of Tb2Pd8Pt, with properties calculated at the PBE level.

magnetization = 0.000 μB per atom

Lattice parameters (Å, degrees): 7.5468 7.5468 6.5449 107.59 107.59 32.65
Atoms (fractional coordinates):
1 Tb 0.2159 0.2159 0.1663
2 Tb 0.7841 0.7841 0.8337
3 Pd 0.0345 0.0345 0.2283
4 Pd 0.1411 0.1411 0.6763
5 Pd 0.3322 0.3322 0.6031
6 Pd 0.4086 0.4086 0.0634
7 Pd 0.5914 0.5914 0.9366
8 Pd 0.6678 0.6678 0.3969
9 Pd 0.8589 0.8589 0.3237
10 Pd 0.9655 0.9655 0.7717
11 Pt 0.5000 0.5000 0.5000

***

Result of the stability comparison: A is the least stable of them.